Record 1
This record from Alexandria via LeMat-Bulk describes an optimized crystal structure of SnHgRu. The functional is PBE.

E_form: 0.2286 eV/atom
Crystal system: tetragonal
Volume: 129.1 Å³ per cell
Symmetry: P4/nmm (129)
Theoretical density: 10.81 g/cm³
Spin magnetization: 0.0508 μB per atom

Cell lengths 3.6446, 3.6446, 9.7202 Å; angles 90.00, 90.00, 90.00 degrees
Last column: nearest neighbours and their distance in Å.
Positions (direct):
1 Ru 0.0000 0.5000 0.6091  5 Sn 2.65-2.73, 1 Hg 2.88
2 Ru 0.5000 0.0000 0.3909  5 Sn 2.65-2.73, 1 Hg 2.88
3 Sn 0.5000 0.0000 0.6717  5 Ru 2.65-2.73
4 Sn 0.0000 0.5000 0.3283  5 Ru 2.65-2.73
5 Hg 0.0000 0.5000 0.9058  1 Ru 2.88, 4 Hg 3.16
6 Hg 0.5000 0.0000 0.0942  1 Ru 2.88, 4 Hg 3.16

---

Record 2
This record from Alexandria via LeMat-Bulk describes an optimized crystal structure of AgSnTe2. The functional is PBE.

Crystal system: tetragonal
Volume: 114.3 Å³ per cell
Symmetry: P4/mmm (123)
Formation energy from raw total energies: -0.47 eV/f.u.
Theoretical density: 7.00 g/cm³
Spin magnetization: 0.0000 μB per atom

Cell lengths 4.3292, 4.3292, 6.0979 Å; angles 90.00, 90.00, 90.00 degrees
Last column: nearest neighbours and their distance in Å.
Positions (direct):
1 Te 0.0000 0.0000 0.5000  2 Ag 3.05, 4 Sn 3.06
2 Te 0.5000 0.5000 0.0000  2 Sn 3.05, 4 Ag 3.06
3 Sn 0.5000 0.5000 0.5000  6 Te 3.05-3.06
4 Ag 0.0000 0.0000 0.0000  6 Te 3.05-3.06

---

Record 3
This record from Alexandria via LeMat-Bulk describes an optimized crystal structure of NaTcAg2. The functional is PBE.

E_form: 1.0363 eV/atom
Crystal system: tetragonal
Volume: 163.4 Å³ per cell
Symmetry: I-42d (122)
Theoretical density: 6.84 g/cm³
Spin magnetization: 0.7644 μB per atom

Cell lengths 4.0824, 4.0824, 10.2226 Å; angles 78.48, 78.48, 90.00 degrees
Last column: nearest neighbours and their distance in Å.
Positions (direct):
1 Na 0.5000 0.5000 0.0000  4 Ag 2.85, 4 Tc 2.89
2 Na 0.2500 0.7500 0.5000  4 Ag 2.85, 4 Tc 2.89
3 Tc 0.0000 0.0000 0.0000  4 Ag 2.84, 4 Na 2.89
4 Tc 0.7500 0.2500 0.5000  4 Ag 2.84, 4 Na 2.89
5 Ag 0.6282 0.1250 0.2500  2 Tc 2.84, 2 Na 2.85, 4 Ag 2.87-2.91
6 Ag 0.1218 0.6250 0.2500  2 Tc 2.84, 2 Na 2.85, 4 Ag 2.87-2.91
7 Ag 0.3750 0.3718 0.7500  2 Tc 2.84, 2 Na 2.85, 4 Ag 2.87-2.91
8 Ag 0.8750 0.8782 0.7500  2 Tc 2.84, 2 Na 2.85, 4 Ag 2.87-2.91

---

Record 4
This record from Alexandria via LeMat-Bulk describes an optimized crystal structure of BaMoAu2. The functional is PBE.

E_form: 0.0668 eV/atom
Crystal system: trigonal
Volume: 109.8 Å³ per cell
Symmetry: R-3m (166)
Theoretical density: 9.48 g/cm³
Spin magnetization: 0.4666 μB per atom

Cell lengths 4.6983, 4.6983, 6.3492 Å; angles 68.33, 68.33, 60.02 degrees
Last column: nearest neighbours and their distance in Å.
Positions (direct):
1 Au 0.9439 0.9439 0.1684  3 Mo 2.75, 3 Au 2.87
2 Au 0.5561 0.5561 0.3316  3 Mo 2.75, 3 Au 2.87
3 Ba 0.7500 0.7500 0.7500  8 Au 3.34-3.62
4 Mo 0.2500 0.2500 0.2500  6 Au 2.75

---

Record 5
This record from Alexandria via LeMat-Bulk describes an optimized crystal structure of SrDyPt2. The functional is PBE.

E_form: -1.0444 eV/atom
Crystal system: tetragonal
Volume: 92.7 Å³ per cell
Symmetry: P4/mmm (123)
Theoretical density: 11.47 g/cm³
Spin magnetization: 0.0000 μB per atom

Cell lengths 3.5487, 3.5487, 7.3638 Å; angles 90.00, 90.00, 90.00 degrees
Last column: nearest neighbours and their distance in Å.
Positions (direct):
1 Sr 0.5000 0.5000 0.5000  8 Pt 3.28, 4 Sr 3.55
2 Pt 0.0000 0.0000 0.7876  4 Dy 2.96, 1 Pt 3.13, 4 Sr 3.28
3 Pt 0.0000 0.0000 0.2124  4 Dy 2.96, 1 Pt 3.13, 4 Sr 3.28
4 Dy 0.5000 0.5000 0.0000  8 Pt 2.96

---

Record 6
This record from Alexandria via LeMat-Bulk describes an optimized crystal structure of Na3PuPb4. The functional is PBE.

E_form: -0.1154 eV/atom
Crystal system: tetragonal
Volume: 228.8 Å³ per cell
Symmetry: I4/mmm (139)
Theoretical density: 8.29 g/cm³
Spin magnetization: 0.7303 μB per atom

Cell lengths 5.1852, 5.1851, 9.2675 Å; angles 106.28, 106.25, 90.00 degrees
Last column: nearest neighbours and their distance in Å.
Positions (direct):
1 Pb 0.3779 0.3777 0.7558  2 Pu 3.32, 6 Na 3.32-3.41, 4 Pb 3.67
2 Pb 0.6221 0.6223 0.2442  2 Pu 3.32, 6 Na 3.32-3.41, 4 Pb 3.67
3 Pb 0.1221 0.1227 0.2442  6 Na 3.32-3.42, 2 Pu 3.32, 4 Pb 3.67
4 Pb 0.8779 0.8773 0.7558  6 Na 3.32-3.42, 2 Pu 3.32, 4 Pb 3.67
5 Na 0.0000 0.5000 0.0000  8 Pb 3.32, 4 Pu 3.67
6 Na 0.7476 0.2475 0.4951  8 Pb 3.36-3.42, 4 Na 3.67
7 Na 0.2524 0.7525 0.5049  8 Pb 3.36-3.42, 4 Na 3.67
8 Pu 0.5000 0.0000 0.0000  8 Pb 3.32, 4 Na 3.67

---

What did the first record say?
This record from Alexandria via LeMat-Bulk describes an optimized crystal structure of SnHgRu. The functional is PBE.

E_form: 0.2286 eV/atom
Crystal system: tetragonal
Volume: 129.1 Å³ per cell
Symmetry: P4/nmm (129)
Theoretical density: 10.81 g/cm³
Spin magnetization: 0.0508 μB per atom

Cell lengths 3.6446, 3.6446, 9.7202 Å; angles 90.00, 90.00, 90.00 degrees
Last column: nearest neighbours and their distance in Å.
Positions (direct):
1 Ru 0.0000 0.5000 0.6091  5 Sn 2.65-2.73, 1 Hg 2.88
2 Ru 0.5000 0.0000 0.3909  5 Sn 2.65-2.73, 1 Hg 2.88
3 Sn 0.5000 0.0000 0.6717  5 Ru 2.65-2.73
4 Sn 0.0000 0.5000 0.3283  5 Ru 2.65-2.73
5 Hg 0.0000 0.5000 0.9058  1 Ru 2.88, 4 Hg 3.16
6 Hg 0.5000 0.0000 0.0942  1 Ru 2.88, 4 Hg 3.16

---

> What is the spin magnetization in the first record?

0.0508 μB per atom

---

> Which of these has the lowest volume?

SrDyPt2